An optimized crystal structure of DyEr10Th4, computed with GGA-PBE.

Structure (CIF):
```
data_DyEr10Th4
_symmetry_space_group_name_H-M 'I 4/m m m'
_symmetry_Int_Tables_number 139
_symmetry_space_group_name_Hall '-I 4 2'
_cell_length_a 11.231
_cell_length_b 11.231
_cell_length_c 7.727
_cell_angle_alpha 90.00
_cell_angle_beta 90.00
_cell_angle_gamma 90.00
loop_
_atom_site_label
_atom_site_fract_x
_atom_site_fract_y
_atom_site_fract_z
Dy1 0.000 0.000 0.000
Er1 0.000 0.209 0.292
Er2 0.000 0.500 0.250
Th1 0.228 0.228 0.000
```

Properties
Electronic total energy, eV/cell: -150.87